No. 1
Entry from Alexandria: a relaxed CdRh2Au crystal (PBE).

Values from the calculation:
Size of the total moment, μB/cell: 0.00
Fermi-level density of states, states/eV/f.u.: 4.6
Space group: Cm
ΔH_f (0 K), meV/atom: 38

a b c (Å): 4.893 4.893 4.959
angles (deg): 79.77 79.77 34.35
Sites, in units of the cell vectors:
Au  0.504  0.504  0.502
Rh  0.256  0.256  0.229
Rh  0.994  0.994  0.024
Cd  0.747  0.747  0.746


No. 2
Entry from Alexandria: a relaxed CdRhAu crystal (PBE).

Values from the calculation:
Size of the total moment, μB/cell: 0.00
Excess energy over the best structure of this formula in the dataset, eV/f.u.: 0.59
Fermi-level density of states, states/eV/f.u.: 0.8
Space group: F-43m
ΔH_f (0 K), meV/atom: 188

a b c (Å): 4.438 4.438 4.438
angles (deg): 60.00 60.00 60.00
Sites, in units of the cell vectors:
Rh  0.250  0.250  0.250
Au  0.000  0.000  0.000
Cd  0.500  0.500  0.500


No. 3
Entry from Alexandria: a relaxed CdRh4Au crystal (PBE).

Values from the calculation:
Size of the total moment, μB/cell: 1.91
Fermi-level density of states, states/eV/f.u.: 10.7
Space group: F-43m
ΔH_f (0 K), meV/atom: 227

a b c (Å): 5.195 5.195 5.195
angles (deg): 60.00 60.00 60.00
Last column: magnetic moment on the atom in μB.
Sites, in units of the cell vectors:
Cd  0.000  0.000  0.000  -0.01
Rh  0.375  0.375  0.875  0.46
Rh  0.375  0.875  0.375  0.46
Au  0.750  0.750  0.750  0.04
Rh  0.875  0.375  0.375  0.46
Rh  0.375  0.375  0.375  0.46


No. 4
Entry from Alexandria: a relaxed CdRhAu2 crystal (PBE).

Values from the calculation:
Size of the total moment, μB/cell: 0.00
Fermi-level density of states, states/eV/f.u.: 2.8
Space group: Cm
ΔH_f (0 K), meV/atom: -11

a b c (Å): 5.008 5.008 4.857
angles (deg): 77.33 77.33 36.28
Sites, in units of the cell vectors:
Cd  0.504  0.504  0.490
Rh  0.251  0.251  0.253
Au  0.749  0.749  0.755
Au  0.996  0.996  0.002


No. 5
Entry from Alexandria: a relaxed Cd8Rh2Au crystal (PBE).

Values from the calculation:
Size of the total moment, μB/cell: 0.00
Excess energy over the best structure of this formula in the dataset, eV/f.u.: 0.00
Fermi-level density of states, states/eV/f.u.: 4.2
Space group: Immm
ΔH_f (0 K), meV/atom: -107

a b c (Å): 4.426 7.487 7.867
angles (deg): 118.41 106.34 90.00
Sites, in units of the cell vectors:
Cd  0.345  0.560  0.690
Rh  0.198  0.698  0.396
Cd  0.345  0.130  0.690
Au  0.500  0.000  0.000
Cd  0.655  0.440  0.310
Cd  0.000  0.687  0.000
Cd  0.000  0.313  0.000
Cd  0.152  0.152  0.304
Rh  0.802  0.302  0.604
Cd  0.655  0.870  0.310
Cd  0.848  0.848  0.696


No. 6
Entry from Alexandria: a relaxed CdRh2Au crystal (PBE).

Values from the calculation:
Size of the total moment, μB/cell: 0.00
Fermi-level density of states, states/eV/f.u.: 5.7
Space group: P4/mmm
ΔH_f (0 K), meV/atom: 72

a b c (Å): 4.118 4.118 3.869
angles (deg): 90.00 90.00 90.00
Sites, in units of the cell vectors:
Cd  0.000  0.000  0.500
Rh  0.500  0.000  0.000
Au  0.500  0.500  0.500
Rh  0.000  0.500  0.000


Which value of Fermi-level density of states does entry 1 give? 4.6 states/eV/f.u.